Entry from Alexandria: an optimized crystal structure of NaHCN2 (PBE-GGA).

Unit cell a=2.461 b=6.361 c=5.656 alpha=106.42 beta=90.00 gamma=101.15
Fractional positions:
Na: 0.318 0.636 0.328
Na: 0.682 0.364 0.672
H: 0.540 0.080 0.802
H: 0.460 0.920 0.198
C: 0.085 0.171 0.127
C: 0.915 0.829 0.873
N: 0.353 0.706 0.779
N: 0.647 0.294 0.221
N: 0.035 0.071 0.844
N: 0.965 0.929 0.156

Results
E = -59.71 eV per cell
SG = C2/m, No. 12

Entry from Alexandria: an optimized crystal structure of Na2HCN2 (PBE-GGA).

Unit cell a=4.637 b=7.103 c=6.234 alpha=124.73 beta=90.00 gamma=90.00
Site moments in Bohr magnetons follow the coordinates.
Fractional positions:
Na: 0.206 0.895 0.314  0.00
Na: 0.206 0.580 0.686  0.00
Na: 0.706 0.105 0.686  0.00
Na: 0.706 0.420 0.314  0.00
H: 0.441 0.999 0.000  0.00
H: 0.941 0.001 0.000  0.00
C: 0.706 0.651 0.000  -0.03
C: 0.206 0.349 0.000  -0.03
N: 0.706 0.773 0.242  0.16
N: 0.706 0.531 0.758  0.16
N: 0.206 0.469 0.242  0.16
N: 0.206 0.227 0.758  0.16

Results
E = -63.31 eV per cell
SG = Cmc2_1, No. 36